! GGA-PBE Sm2HgPt, relaxed; values from VASP
&SYSTEM
  ibrav = 0, nat = 8, ntyp = 3
/
ATOMIC_SPECIES
Sm 150.36 Sm.upf
Hg 200.59 Hg.upf
Pt 195.08 Pt.upf
ATOMIC_POSITIONS crystal
Sm 0.500 0.505 0.226
Sm 0.500 0.495 0.774
Sm 0.500 0.995 0.226
Hg 0.000 0.250 0.489
Pt 0.000 0.750 0.974
Hg 0.000 0.750 0.511
Pt 0.000 0.250 0.026
Sm 0.500 0.005 0.774
CELL_PARAMETERS angstrom
3.651 0.000 0.000
0.000 7.287 0.000
0.000 0.000 7.511
! Magnetization   0.00 μB per cell
! Total DFT energy (no corrections)   -4.74 eV/atom
! Volume   99.9 Å³/f.u.
! Energy above the most stable polymorph in this dataset   0 kJ/mol of formula units
! D(E_F)   2.84 states/eV/f.u.
! Space group   Pmma

! GGA-PBE Sm2HgPt, relaxed; values from VASP
&SYSTEM
  ibrav = 0, nat = 4, ntyp = 3
/
ATOMIC_SPECIES
Sm 150.36 Sm.upf
Pt 195.08 Pt.upf
Hg 200.59 Hg.upf
ATOMIC_POSITIONS crystal
Sm 0.000 0.000 0.226
Sm 0.000 0.000 0.774
Pt 0.500 0.500 0.000
Hg 0.500 0.500 0.500
CELL_PARAMETERS angstrom
3.647 0.000 0.000
0.000 3.647 0.000
0.000 0.000 7.514
! Magnetization   0.00 μB per cell
! Total DFT energy (no corrections)   -4.74 eV/atom
! Volume   99.9 Å³/f.u.
! Energy above the most stable polymorph in this dataset   0 kJ/mol of formula units
! D(E_F)   3.17 states/eV/f.u.
! Space group   P4/mmm

! GGA-PBE Sm5Hg2Pt2, relaxed; values from VASP
&SYSTEM
  ibrav = 0, nat = 18, ntyp = 3
/
ATOMIC_SPECIES
Sm 150.36 Sm.upf
Pt 195.08 Pt.upf
Hg 200.59 Hg.upf
ATOMIC_POSITIONS crystal
Sm 0.329 0.707 0.754
Pt 0.868 0.370 0.000
Hg 0.000 0.213 0.426
Sm 0.171 0.207 0.754
Hg 0.000 0.787 0.574
Sm 0.829 0.793 0.246
Sm 0.671 0.293 0.246
Hg 0.500 0.287 0.574
Sm 0.671 0.047 0.754
Sm 0.329 0.953 0.246
Pt 0.368 0.130 0.000
Sm 0.171 0.453 0.246
Pt 0.132 0.630 0.000
Sm 0.829 0.547 0.754
Sm 0.000 0.000 0.000
Hg 0.500 0.713 0.426
Pt 0.632 0.870 0.000
Sm 0.500 0.500 0.000
CELL_PARAMETERS angstrom
7.996 0.000 0.000
0.000 7.724 0.000
0.000 -3.862 7.966
! Magnetization   0.00 μB per cell
! Total DFT energy (no corrections)   -4.77 eV/atom
! Volume   246.0 Å³/f.u.
! D(E_F)   8.74 states/eV/f.u.
! Space group   Cmce

! GGA-PBE Sm12HgPt6, relaxed; values from VASP
&SYSTEM
  ibrav = 0, nat = 19, ntyp = 3
/
ATOMIC_SPECIES
Sm 150.36 Sm.upf
Pt 195.08 Pt.upf
Hg 200.59 Hg.upf
ATOMIC_POSITIONS crystal
Sm 0.880 0.180 0.700
Sm 0.300 0.120 0.820
Sm 0.481 0.180 0.300
Pt 0.500 0.136 0.636
Hg 0.000 0.000 0.000
Sm 0.180 0.700 0.880
Pt 0.500 0.864 0.364
Pt 0.864 0.364 0.500
Sm 0.300 0.481 0.180
Pt 0.136 0.636 0.500
Sm 0.180 0.300 0.481
Pt 0.636 0.500 0.136
Sm 0.700 0.519 0.820
Sm 0.519 0.820 0.700
Sm 0.820 0.700 0.519
Sm 0.820 0.300 0.120
Sm 0.700 0.880 0.180
Pt 0.364 0.500 0.864
Sm 0.120 0.820 0.300
CELL_PARAMETERS angstrom
-0.631 -8.616 -1.772
6.851 3.408 -4.384
1.193 1.140 8.663
! Magnetization   0.00 μB per cell
! Total DFT energy (no corrections)   -5.68 eV/atom
! Volume   527.9 Å³/f.u.
! D(E_F)   18.68 states/eV/f.u.
! Space group   Im-3

! GGA-PBE Sm3HgPt, relaxed; values from VASP
&SYSTEM
  ibrav = 0, nat = 20, ntyp = 3
/
ATOMIC_SPECIES
Sm 150.36 Sm.upf
Hg 200.59 Hg.upf
Pt 195.08 Pt.upf
ATOMIC_POSITIONS crystal
Sm 0.983 0.807 0.374
Sm 0.383 0.176 0.783
Hg 0.691 0.040 0.556
Hg 0.809 0.540 0.556
Hg 0.309 0.960 0.444
Sm 0.483 0.693 0.626
Sm 0.788 0.970 0.898
Pt 0.051 0.302 0.928
Sm 0.712 0.470 0.898
Sm 0.212 0.030 0.102
Sm 0.617 0.824 0.217
Sm 0.017 0.193 0.626
Hg 0.191 0.460 0.444
Sm 0.288 0.530 0.102
Pt 0.949 0.698 0.072
Pt 0.449 0.802 0.928
Pt 0.551 0.198 0.072
Sm 0.117 0.676 0.783
Sm 0.517 0.307 0.374
Sm 0.883 0.324 0.217
CELL_PARAMETERS angstrom
-3.920 -7.401 -1.825
3.586 -0.410 -6.038
6.123 -4.533 5.233
! Magnetization   0.00 μB per cell
! Total DFT energy (no corrections)   -4.74 eV/atom
! Volume   138.3 Å³/f.u.
! Energy above the most stable polymorph in this dataset   0 kJ/mol of formula units
! D(E_F)   3.79 states/eV/f.u.
! Space group   P2_1/c

! GGA-PBE Sm2Hg3Pt, relaxed; values from VASP
&SYSTEM
  ibrav = 0, nat = 6, ntyp = 3
/
ATOMIC_SPECIES
Sm 150.36 Sm.upf
Hg 200.59 Hg.upf
Pt 195.08 Pt.upf
ATOMIC_POSITIONS crystal
Sm 0.000 0.500 0.042
Hg 0.500 0.000 0.165
Hg 0.500 0.000 0.830
Sm 0.000 0.000 0.474
Hg 0.500 0.500 0.659
Pt 0.500 0.500 0.330
CELL_PARAMETERS angstrom
3.546 0.000 0.000
0.000 4.867 0.000
0.000 0.000 8.505
! Magnetization   0.00 μB per cell
! Total DFT energy (no corrections)   -3.32 eV/atom
! Volume   146.8 Å³/f.u.
! D(E_F)   3.18 states/eV/f.u.
! Space group   Pmm2

! GGA-PBE Sm12Hg5Pt2, relaxed; values from VASP
&SYSTEM
  ibrav = 0, nat = 19, ntyp = 3
/
ATOMIC_SPECIES
Sm 150.36 Sm.upf
Hg 200.59 Hg.upf
Pt 195.08 Pt.upf
ATOMIC_POSITIONS crystal
Sm 0.822 0.242 0.552
Sm 0.917 0.350 0.176
Sm 0.580 0.758 0.448
Sm 0.901 0.802 0.161
Sm 0.178 0.758 0.448
Hg 0.704 0.409 0.899
Hg 0.766 0.531 0.466
Sm 0.083 0.650 0.824
Hg 0.000 0.000 0.500
Hg 0.296 0.591 0.101
Sm 0.567 0.650 0.824
Hg 0.234 0.469 0.534
Pt 0.200 0.000 0.000
Pt 0.800 0.000 0.000
Sm 0.515 0.029 0.818
Sm 0.433 0.350 0.176
Sm 0.485 0.971 0.182
Sm 0.420 0.242 0.552
Sm 0.099 0.198 0.839
CELL_PARAMETERS angstrom
-1.562 -5.684 5.318
4.905 -2.661 -7.330
6.035 3.688 5.714
! Magnetization   0.00 μB per cell
! Total DFT energy (no corrections)   -4.07 eV/atom
! Volume   573.9 Å³/f.u.
! D(E_F)   18.56 states/eV/f.u.
! Space group   C2/m

! GGA-PBE Sm3Hg2Pt, relaxed; values from VASP
&SYSTEM
  ibrav = 0, nat = 6, ntyp = 3
/
ATOMIC_SPECIES
Hg 200.59 Hg.upf
Sm 150.36 Sm.upf
Pt 195.08 Pt.upf
ATOMIC_POSITIONS crystal
Hg 0.500 0.500 0.831
Sm 0.000 0.000 0.000
Sm 0.000 0.000 0.351
Hg 0.500 0.500 0.169
Pt 0.500 0.500 0.500
Sm 0.000 0.000 0.649
CELL_PARAMETERS angstrom
3.704 0.000 0.000
0.000 3.704 0.000
0.000 0.000 11.237
! Magnetization   0.09 μB per cell
! Total DFT energy (no corrections)   -4.16 eV/atom
! Volume   154.2 Å³/f.u.
! Energy above the most stable polymorph in this dataset   0 kJ/mol of formula units
! D(E_F)   4.68 states/eV/f.u.
! Space group   P4/mmm

! GGA-PBE Sm12Hg6Pt, relaxed; values from VASP
&SYSTEM
  ibrav = 0, nat = 19, ntyp = 3
/
ATOMIC_SPECIES
Sm 150.36 Sm.upf
Hg 200.59 Hg.upf
Pt 195.08 Pt.upf
ATOMIC_POSITIONS crystal
Sm 0.569 0.456 0.799
Sm 0.966 0.097 0.320
Hg 0.861 0.265 0.653
Sm 0.799 0.569 0.456
Sm 0.680 0.034 0.903
Sm 0.431 0.544 0.201
Sm 0.544 0.201 0.431
Pt 0.000 0.000 0.000
Hg 0.347 0.139 0.735
Hg 0.265 0.653 0.861
Hg 0.735 0.347 0.139
Hg 0.139 0.735 0.347
Sm 0.034 0.903 0.680
Sm 0.456 0.799 0.569
Sm 0.903 0.680 0.034
Hg 0.653 0.861 0.265
Sm 0.320 0.966 0.097
Sm 0.201 0.431 0.544
Sm 0.097 0.320 0.966
CELL_PARAMETERS angstrom
8.377 0.343 0.410
-0.931 8.332 0.410
-0.931 -1.085 8.271
! Magnetization   0.00 μB per cell
! Total DFT energy (no corrections)   -3.69 eV/atom
! Volume   587.1 Å³/f.u.
! D(E_F)   23.09 states/eV/f.u.
! Space group   R-3

! GGA-PBE SmSnHgPt, relaxed; values from VASP
&SYSTEM
  ibrav = 0, nat = 4, ntyp = 4
/
ATOMIC_SPECIES
Sm 150.36 Sm.upf
Hg 200.59 Hg.upf
Sn 118.71 Sn.upf
Pt 195.08 Pt.upf
ATOMIC_POSITIONS crystal
Sm 0.250 0.250 0.250
Hg 0.000 0.000 0.000
Sn 0.750 0.750 0.750
Pt 0.500 0.500 0.500
CELL_PARAMETERS angstrom
5.041 0.000 0.000
2.521 4.366 0.000
2.521 1.455 4.116
! Magnetization   0.00 μB per cell
! Total DFT energy (no corrections)   -4.38 eV/atom
! Volume   90.6 Å³/f.u.
! D(E_F)   2.25 states/eV/f.u.
! Space group   F-43m

! GGA-PBE TbSmHgPt, relaxed; values from VASP
&SYSTEM
  ibrav = 0, nat = 4, ntyp = 4
/
ATOMIC_SPECIES
Hg 200.59 Hg.upf
Tb 158.93 Tb.upf
Pt 195.08 Pt.upf
Sm 150.36 Sm.upf
ATOMIC_POSITIONS crystal
Hg 0.500 0.500 0.500
Tb 0.250 0.250 0.250
Pt 0.000 0.000 0.000
Sm 0.750 0.750 0.750
CELL_PARAMETERS angstrom
-4.561 0.693 2.300
-2.291 -3.933 2.419
-0.323 -0.025 5.144
! Magnetization   0.00 μB per cell
! Total DFT energy (no corrections)   -4.70 eV/atom
! Volume   96.8 Å³/f.u.
! D(E_F)   2.43 states/eV/f.u.
! Space group   F-43m

! GGA-PBE SmThHgPt, relaxed; values from VASP
&SYSTEM
  ibrav = 0, nat = 4, ntyp = 4
/
ATOMIC_SPECIES
Pt 195.08 Pt.upf
Th 232.04 Th.upf
Sm 150.36 Sm.upf
Hg 200.59 Hg.upf
ATOMIC_POSITIONS crystal
Pt 0.250 0.250 0.250
Th 0.500 0.500 0.500
Sm 0.000 0.000 0.000
Hg 0.750 0.750 0.750
CELL_PARAMETERS angstrom
5.233 0.000 0.000
2.617 4.532 0.000
2.617 1.511 4.273
! Magnetization   0.00 μB per cell
! Total DFT energy (no corrections)   -5.25 eV/atom
! Volume   101.4 Å³/f.u.
! D(E_F)   3.60 states/eV/f.u.
! Space group   F-43m

What did the twelfth record say?
! GGA-PBE SmThHgPt, relaxed; values from VASP
&SYSTEM
  ibrav = 0, nat = 4, ntyp = 4
/
ATOMIC_SPECIES
Pt 195.08 Pt.upf
Th 232.04 Th.upf
Sm 150.36 Sm.upf
Hg 200.59 Hg.upf
ATOMIC_POSITIONS crystal
Pt 0.250 0.250 0.250
Th 0.500 0.500 0.500
Sm 0.000 0.000 0.000
Hg 0.750 0.750 0.750
CELL_PARAMETERS angstrom
5.233 0.000 0.000
2.617 4.532 0.000
2.617 1.511 4.273
! Magnetization   0.00 μB per cell
! Total DFT energy (no corrections)   -5.25 eV/atom
! Volume   101.4 Å³/f.u.
! D(E_F)   3.60 states/eV/f.u.
! Space group   F-43m

- Which of these has the lowest volume?
  SmSnHgPt

- What is the magnetization in the twelfth record?
  0.00 μB per cell

What did the twelfth record say?
! GGA-PBE SmThHgPt, relaxed; values from VASP
&SYSTEM
  ibrav = 0, nat = 4, ntyp = 4
/
ATOMIC_SPECIES
Pt 195.08 Pt.upf
Th 232.04 Th.upf
Sm 150.36 Sm.upf
Hg 200.59 Hg.upf
ATOMIC_POSITIONS crystal
Pt 0.250 0.250 0.250
Th 0.500 0.500 0.500
Sm 0.000 0.000 0.000
Hg 0.750 0.750 0.750
CELL_PARAMETERS angstrom
5.233 0.000 0.000
2.617 4.532 0.000
2.617 1.511 4.273
! Magnetization   0.00 μB per cell
! Total DFT energy (no corrections)   -5.25 eV/atom
! Volume   101.4 Å³/f.u.
! D(E_F)   3.60 states/eV/f.u.
! Space group   F-43m